1.
A plane-wave DFT calculation with PBE was carried out for a relaxed structure of AgSn2Pd4.

**Volume**: 262.9 Å³ per cell
**M_tot**: 0.000 Bohr magnetons per cell

Unit cell a=6.7472 b=7.0560 c=7.1018 alpha=89.67 beta=61.99 gamma=65.11
Last column: nearest neighbours and their distance in Å.
Space group P1 (No. 1)
Symmetry-distinct sites (fractional):
1 Ag 0.0000 0.0000 0.0000 (multiplicity 1)  6 Pd 2.79-3.06, 1 Ag 2.84, 2 Sn 2.95-3.03
2 Ag 0.4975 0.1431 0.0874 (multiplicity 1)  1 Sn 2.76, 5 Pd 2.80-3.00, 1 Ag 2.84
3 Sn 0.2107 0.0870 0.4934 (multiplicity 1)  7 Pd 2.64-2.91, 1 Ag 2.76
4 Sn 0.2834 0.5412 0.6043 (multiplicity 1)  6 Pd 2.66-2.78
5 Sn 0.5564 0.7598 0.8079 (multiplicity 1)  6 Pd 2.68-2.82, 1 Ag 2.95
6 Sn 0.8669 0.4634 0.1363 (multiplicity 1)  7 Pd 2.67-2.82
7 Pd 0.0222 0.4952 0.4308 (multiplicity 1)  4 Sn 2.69-2.79, 4 Pd 2.84-2.91, 1 Ag 2.90
8 Pd 0.2443 0.5657 0.9946 (multiplicity 1)  3 Sn 2.66-2.80, 4 Pd 2.71-2.89, 1 Ag 2.79
9 Pd 0.3457 0.1756 0.7703 (multiplicity 1)  4 Sn 2.69-2.82, 4 Pd 2.83-3.00, 2 Ag 2.85-2.91
10 Pd 0.3811 0.7109 0.2426 (multiplicity 1)  4 Sn 2.66-2.82, 3 Pd 2.71-2.97
11 Pd 0.7077 0.8677 0.3548 (multiplicity 1)  2 Sn 2.68-2.76, 1 Ag 2.82, 4 Pd 2.84-2.97
12 Pd 0.7677 0.2445 0.4453 (multiplicity 1)  3 Sn 2.67-2.91, 5 Pd 2.77-2.97, 1 Ag 2.93
13 Pd 0.7693 0.3525 0.8428 (multiplicity 1)  3 Sn 2.64-2.69, 2 Ag 2.80-2.86, 2 Pd 2.81-2.93
14 Pd 0.8917 0.9116 0.6468 (multiplicity 1)  3 Sn 2.68-2.72, 4 Pd 2.77-2.95, 1 Ag 2.85



2.
A plane-wave DFT calculation with PBE was carried out for a relaxed structure of AgSn2Pd4.

**Volume**: 292.5 Å³ per cell
**M_tot**: 0.000 Bohr magnetons per cell

Unit cell a=3.9044 b=3.9044 c=19.1877 alpha=90.00 beta=90.00 gamma=90.00
Last column: nearest neighbours and their distance in Å.
Space group I4/mmm (No. 139)
Symmetry-distinct sites (fractional):
1 Ag 0.0000 0.0000 0.0000 (multiplicity 2)  2 Pd 2.67
2 Sn 0.0000 0.0000 0.3589 (multiplicity 4)  8 Pd 2.76-2.86
3 Pd 0.0000 0.0000 0.1390 (multiplicity 4)  1 Ag 2.67, 4 Sn 2.76, 4 Pd 2.89
4 Pd 0.0000 0.5000 0.2500 (multiplicity 4)  8 Pd 2.76-2.89, 4 Sn 2.86



Most favorable structure: 1. The second most favorable one is 120 meV/atom above it.



1.
A plane-wave DFT calculation with PBE was carried out for a relaxed structure of Ag2SnPd.

**Volume**: 72.8 Å³ per cell
**M_tot**: 0.000 Bohr magnetons per cell

Unit cell a=4.0720 b=4.0720 c=4.3925 alpha=90.00 beta=90.00 gamma=90.00
Last column: nearest neighbours and their distance in Å.
Space group P4/mmm (No. 123)
Symmetry-distinct sites (fractional):
1 Ag 0.0000 0.5000 0.0000 (multiplicity 2)  4 Ag 2.88, 4 Sn 2.99, 4 Pd 2.99
2 Sn 0.0000 0.0000 0.5000 (multiplicity 1)  4 Pd 2.88, 8 Ag 2.99
3 Pd 0.5000 0.5000 0.5000 (multiplicity 1)  4 Sn 2.88, 8 Ag 2.99



2.
A plane-wave DFT calculation with PBE was carried out for a relaxed structure of Ag2SnPd.

**Volume**: 244.1 Å³ per cell
**M_tot**: 0.000 Bohr magnetons per cell

Unit cell a=3.0029 b=3.0029 c=31.2587 alpha=90.00 beta=90.00 gamma=120.00
Last column: nearest neighbours and their distance in Å.
Space group R-3m (No. 166, hexagonal axes)
Symmetry-distinct sites (fractional):
1 Ag 0.0000 0.0000 0.0858 (multiplicity 6)  1 Pd 2.68
2 Sn 0.0000 0.0000 0.5000 (multiplicity 3)  6 Sn 3.00, 6 Ag 3.07
3 Pd 0.0000 0.0000 0.0000 (multiplicity 3)  2 Ag 2.68



3.
A plane-wave DFT calculation with PBE was carried out for a relaxed structure of Ag2SnPd.

**Volume**: 295.5 Å³ per cell
**M_tot**: 0.000 Bohr magnetons per cell

Unit cell a=6.6604 b=6.6604 c=6.6604 alpha=90.00 beta=90.00 gamma=90.00
Last column: nearest neighbours and their distance in Å.
Space group Fm-3m (No. 225)
Symmetry-distinct sites (fractional):
1 Ag 0.2500 0.2500 0.2500 (multiplicity 8)  4 Sn 2.88, 4 Pd 2.88
2 Sn 0.0000 0.0000 0.0000 (multiplicity 4)  8 Ag 2.88
3 Pd 0.0000 0.0000 0.5000 (multiplicity 4)  8 Ag 2.88



4.
A plane-wave DFT calculation with PBE was carried out for a relaxed structure of Ag2SnPd.

**Volume**: 321.4 Å³ per cell
**M_tot**: 0.000 Bohr magnetons per cell

Unit cell a=7.6810 b=7.6810 c=5.4471 alpha=90.00 beta=90.00 gamma=90.00
Last column: nearest neighbours and their distance in Å.
Space group I-42d (No. 122)
Symmetry-distinct sites (fractional):
1 Ag 0.2408 0.2500 0.1250 (multiplicity 8)  2 Ag 2.73, 2 Pd 2.75, 2 Sn 2.85
2 Sn 0.0000 0.0000 0.5000 (multiplicity 4)  2 Pd 2.72, 4 Ag 2.85
3 Pd 0.0000 0.0000 0.0000 (multiplicity 4)  2 Sn 2.72, 4 Ag 2.75



Most favorable structure: 1. The second most favorable one is 79 meV/atom above it.